[1]
Below is LaNbP2 at its PBEsol-relaxed geometry, with properties calculated at the SCAN level.

POSCAR file:
```
LaNbP2
1.0
0.000 3.325 3.325
3.325 0.000 3.325
3.325 3.325 0.000
La Nb P
1 1 2
direct
0.000 0.000 0.000 La
0.500 0.500 0.500 Nb
0.250 0.250 0.250 P
0.750 0.750 0.750 P
```

Properties
formation energy	-719	meV/atom
density	6.64	g/cm3
density of states at the Fermi level	1.66	states/eV/f.u.
total energy	-99.9	eV per cell
SG	Fm-3m, No. 225

[2]
Below is In2OsAu at its PBEsol-relaxed geometry, with properties calculated at the SCAN level.

POSCAR file:
```
In2OsAu
1.0
-1.462 2.228 6.013
1.462 -2.228 6.013
1.462 2.228 -6.013
In Os Au
2 1 1
direct
0.000 0.000 0.000 In
0.710 0.210 0.500 In
0.196 0.696 0.500 Os
0.394 0.394 0.000 Au
```

Properties
formation energy	194	meV/atom
density	13.07	g/cm3
density of states at the Fermi level	1.74	states/eV/f.u.
total energy	-207.0	eV per cell
SG	Imm2, No. 44

[3]
Below is FePd3S at its PBEsol-relaxed geometry, with properties calculated at the SCAN level.

POSCAR file:
```
FePd3S
1.0
4.380 0.000 0.000
0.000 4.380 0.000
0.000 0.000 4.380
Fe Pd S
1 3 1
direct
0.000 0.000 0.000 Fe
0.000 0.500 0.500 Pd
0.500 0.000 0.500 Pd
0.500 0.500 0.000 Pd
0.500 0.500 0.500 S
```

Properties
raw formation energy	0.208	eV per atom
density	8.05	g/cm3
density of states at the Fermi level	5.85	states/eV/f.u.
total energy	-125.0	eV per cell
SG	Pm-3m, No. 221

[4]
Below is NaPd2CI at its PBEsol-relaxed geometry, with properties calculated at the SCAN level.

POSCAR file:
```
NaPd2CI
1.0
3.990 0.000 0.000
0.000 3.990 0.000
0.000 0.000 6.299
Na Pd C I
1 2 1 1
direct
0.000 0.000 0.000 Na
0.000 0.500 0.500 Pd
0.500 0.000 0.500 Pd
0.500 0.500 0.500 C
0.500 0.500 0.000 I
```

Properties
raw formation energy	0.141	eV per atom
density	6.20	g/cm3
density of states at the Fermi level	0.72	states/eV/f.u.
total energy	-115.9	eV per cell
SG	P4/mmm, No. 123

[5]
Below is Tl2POs at its PBEsol-relaxed geometry, with properties calculated at the SCAN level.

POSCAR file:
```
Tl2POs
1.0
3.123 0.000 0.000
0.000 3.614 0.000
-1.562 0.000 7.688
Tl P Os
2 1 1
direct
0.000 0.000 0.000 Tl
0.338 0.500 0.668 Tl
0.697 0.000 0.389 P
0.612 0.500 0.224 Os
```

Properties
energy relative to the lowest polymorph listed for this composition	0	kJ/mol of formula units
formation energy	408	meV/atom
density	12.05	g/cm3
density of states at the Fermi level	1.60	states/eV/f.u.
total energy	-225.4	eV per cell
SG	Pm, No. 6

[6]
Below is LiY2Pt2 at its PBEsol-relaxed geometry, with properties calculated at the SCAN level.

POSCAR file:
```
LiY2Pt2
1.0
7.513 0.000 0.000
0.000 7.513 0.000
0.000 0.000 3.734
Li Y Pt
2 4 4
direct
0.000 0.000 0.000 Li
0.500 0.500 0.000 Li
0.164 0.336 0.500 Y
0.336 0.836 0.500 Y
0.664 0.164 0.500 Y
0.836 0.664 0.500 Y
0.136 0.636 0.000 Pt
0.364 0.136 0.000 Pt
0.636 0.864 0.000 Pt
0.864 0.364 0.000 Pt
```

Properties
formation energy	-1171	meV/atom
density	9.06	g/cm3
density of states at the Fermi level	2.39	states/eV/f.u.
total energy	-408.6	eV per cell
SG	P4/mbm, No. 127

[7]
Below is SrZnCu2C at its PBEsol-relaxed geometry, with properties calculated at the SCAN level.

POSCAR file:
```
SrZnCu2C
1.0
4.581 0.000 0.000
0.000 4.581 0.000
0.000 0.000 4.011
Sr Zn Cu C
1 1 2 1
direct
0.000 0.000 0.000 Sr
0.500 0.500 0.500 Zn
0.000 0.500 0.500 Cu
0.500 0.000 0.500 Cu
0.500 0.500 0.000 C
```

Properties
formation energy	841	meV/atom
density	5.76	g/cm3
density of states at the Fermi level	1.93	states/eV/f.u.
total energy	-72.1	eV per cell
SG	P4/mmm, No. 123

[8]
Below is RbOsIN2 at its PBEsol-relaxed geometry, with properties calculated at the SCAN level.

POSCAR file:
```
RbOsIN2
1.0
4.078 0.000 0.000
0.000 4.078 0.000
0.000 0.000 5.673
Rb Os I N
1 1 1 2
direct
0.000 0.000 0.000 Rb
0.500 0.500 0.500 Os
0.500 0.500 0.000 I
0.000 0.500 0.500 N
0.500 0.000 0.500 N
```

Properties
raw formation energy	0.785	eV per atom
density	7.58	g/cm3
density of states at the Fermi level	1.89	states/eV/f.u.
total energy	-144.0	eV per cell
SG	P4/mmm, No. 123